No. 1
AgWBr2 GGA-PBE optimized geometry; formation energy from raw total energies = 1041 meV/atom; electronic total energy = -14.99 eV for the cell shown; space-group type = Cmmm (65); relative energy among the computed polymorphs = 2.77 eV/f.u.; volume = 20.618 Å³ per atom
1.0
3.408 -3.638 0.000
3.408 3.638 0.000
0.000 0.000 3.327
Ag W Br
1 1 2
Direct
0.000 0.000 0.000
0.500 0.500 0.000
0.000 0.500 0.500
0.500 0.000 0.500

No. 2
BiH2OF GGA-PBE optimized geometry; electronic total energy = -17.93 eV for the cell shown; space-group type = P4/mmm (123); volume = 11.994 Å³ per atom
1.0
3.501 0.000 0.000
0.000 3.501 0.000
0.000 0.000 4.892
Bi H O F
1 2 1 1
Direct
0.000 0.000 0.000
0.000 0.500 0.500
0.500 0.000 0.500
0.000 0.000 0.500
0.500 0.500 0.000

No. 3
Ir2Os2Ru GGA-PBE optimized geometry; electronic total energy = -197.15 eV for the cell shown; space-group type = P2_1/c (14); relative energy among the computed polymorphs = 0.00 eV/f.u.; ΔE_f = 16.4 kJ/mol of formula units; volume = 14.307 Å³ per atom
1.0
11.232 0.000 0.000
0.000 5.450 0.000
-0.645 0.000 4.674
Ir Os Ru
8 8 4
Direct
0.100 0.125 0.449
0.100 0.375 0.949
0.301 0.624 0.848
0.301 0.876 0.348
0.699 0.124 0.652
0.699 0.376 0.152
0.900 0.625 0.051
0.900 0.875 0.551
0.100 0.625 0.453
0.100 0.875 0.953
0.499 0.125 0.247
0.499 0.375 0.747
0.501 0.625 0.253
0.501 0.875 0.753
0.900 0.125 0.047
0.900 0.375 0.547
0.302 0.125 0.854
0.302 0.375 0.354
0.698 0.625 0.646
0.698 0.875 0.146